(1)
V2BiB | PBE | optimized geometry

Summary:
* total magnetic moment: 0.0 μB/f.u.
* DFT total energy: -0.4720 Ry/atom
* formation energy: 0.78 eV/atom
* theoretical density: 7.00 g cm⁻³

a = 5.216 Å, b = 5.216 Å, c = 6.716 Å
α = 67.15°, β = 67.15°, γ = 90.00°
Fractional coordinates of all 8 atoms:
Bi  0.750  0.250  0.500
Bi  0.000  0.000  0.000
V  0.258  0.625  0.250
V  0.875  0.742  0.750
V  0.492  0.125  0.250
V  0.375  0.508  0.750
B  0.250  0.750  0.500
B  0.500  0.500  0.000

---

(2)
VBiB3 | PBE | optimized geometry

Summary:
* total magnetic moment: 3.5 μB/f.u.
* DFT total energy: -0.2840 Ry/atom
* formation energy: 2.74 eV/atom
* theoretical density: 4.90 g cm⁻³

a = 4.627 Å, b = 4.627 Å, c = 4.627 Å
α = 90.00°, β = 90.00°, γ = 90.00°
Fractional coordinates of all 5 atoms:
B  0.500  0.000  0.000
B  0.000  0.500  0.000
B  0.000  0.000  0.500
V  0.500  0.500  0.500
Bi  0.000  0.000  0.000

---

(3)
V3BiB | PBE | optimized geometry

Summary:
* total magnetic moment: 9.6 μB/f.u.
* DFT total energy: -0.3759 Ry/atom
* formation energy: 2.47 eV/atom
* theoretical density: 4.42 g cm⁻³

a = 5.190 Å, b = 5.190 Å, c = 5.190 Å
α = 90.00°, β = 90.00°, γ = 90.00°
Fractional coordinates of all 5 atoms:
B  0.500  0.500  0.500
Bi  0.000  0.000  0.000
V  0.500  0.000  0.000
V  0.000  0.500  0.000
V  0.000  0.000  0.500

---

(4)
BiB2W | PBE | optimized geometry

Summary:
* total magnetic moment: 0.0 μB/f.u.
* DFT total energy: -0.4825 Ry/atom
* formation energy: 0.98 eV/atom
* theoretical density: 9.49 g cm⁻³

a = 5.322 Å, b = 5.322 Å, c = 6.356 Å
α = 65.25°, β = 65.25°, γ = 90.00°
Fractional coordinates of all 8 atoms:
Bi  0.000  0.000  0.000
Bi  0.750  0.250  0.500
W  0.500  0.500  0.000
W  0.250  0.750  0.500
B  0.569  0.125  0.250
B  0.875  0.819  0.750
B  0.375  0.431  0.750
B  0.181  0.625  0.250

---

> Among the records above, which one has the highest formation energy?

VBiB3

---

> Which formula does entry 1 have?

V2BiB

---

Please write out number 3 again, unchanged.
V3BiB | PBE | optimized geometry

Summary:
* total magnetic moment: 9.6 μB/f.u.
* DFT total energy: -0.3759 Ry/atom
* formation energy: 2.47 eV/atom
* theoretical density: 4.42 g cm⁻³

a = 5.190 Å, b = 5.190 Å, c = 5.190 Å
α = 90.00°, β = 90.00°, γ = 90.00°
Fractional coordinates of all 5 atoms:
B  0.500  0.500  0.500
Bi  0.000  0.000  0.000
V  0.500  0.000  0.000
V  0.000  0.500  0.000
V  0.000  0.000  0.500

---

> Number 4 is which compound?

BiB2W